A plane-wave DFT calculation with PBE-GGA was carried out for CoNi2Se6 after structural relaxation. Values from VASP.

## Properties
Formation energy from raw total energies (eV/atom): -0.28
E_tot (eV per atom): -4.67

```
&SYSTEM
  ibrav = 0, nat = 9, ntyp = 3
/
ATOMIC_SPECIES
Co 58.93 Co.upf
Ni 58.69 Ni.upf
Se 78.96 Se.upf
CELL_PARAMETERS angstrom
5.4817 -1.8100 0.0000
5.4817 1.8100 0.0000
-4.0174 0.0000 9.2408
ATOMIC_POSITIONS crystal
Co 0.0000 0.0000 0.0000
Ni 0.3343 0.3343 0.6672
Ni 0.6657 0.6657 0.3328
Se 0.1222 0.1222 0.4648
Se 0.2083 0.2083 0.1997
Se 0.4553 0.4553 0.1280
Se 0.5447 0.5447 0.8720
Se 0.7917 0.7917 0.8003
Se 0.8778 0.8778 0.5352
```

=====

A plane-wave DFT calculation with PBE-GGA was carried out for CoNiSe2 after structural relaxation. Values from VASP.

## Properties
Formation energy from raw total energies (eV/atom): 0.68
E_tot (eV per atom): -4.29

```
&SYSTEM
  ibrav = 0, nat = 4, ntyp = 3
/
ATOMIC_SPECIES
Co 58.93 Co.upf
Ni 58.69 Ni.upf
Se 78.96 Se.upf
CELL_PARAMETERS angstrom
0.0000 3.1297 3.1297
3.1297 0.0000 3.1297
3.1297 3.1297 0.0000
ATOMIC_POSITIONS crystal
Co 0.0000 0.0000 0.0000
Ni 0.7500 0.7500 0.7500
Se 0.2500 0.2500 0.2500
Se 0.5000 0.5000 0.5000
```

=====

A plane-wave DFT calculation with PBE-GGA was carried out for CoNiSe2 after structural relaxation. Values from VASP.

## Properties
Formation energy from raw total energies (eV/atom): -0.15
E_tot (eV per atom): -5.11

```
&SYSTEM
  ibrav = 0, nat = 8, ntyp = 3
/
ATOMIC_SPECIES
Co 58.93 Co.upf
Ni 58.69 Ni.upf
Se 78.96 Se.upf
CELL_PARAMETERS angstrom
-2.6543 2.6543 5.3308
2.6543 -2.6543 5.3308
2.6543 2.6543 -5.3308
ATOMIC_POSITIONS crystal
Co 0.0000 0.0000 0.0000
Co 0.7500 0.2500 0.5000
Ni 0.2500 0.7500 0.5000
Ni 0.5000 0.5000 0.0000
Se 0.1192 0.6250 0.9942
Se 0.3750 0.3692 0.4942
Se 0.6308 0.1250 0.0058
Se 0.8750 0.8808 0.5058
```

=====

A plane-wave DFT calculation with PBE-GGA was carried out for CoNiSe2 after structural relaxation. Values from VASP.

## Properties
Formation energy from raw total energies (eV/atom): 0.07
E_tot (eV per atom): -4.89

```
&SYSTEM
  ibrav = 0, nat = 4, ntyp = 3
/
ATOMIC_SPECIES
Co 58.93 Co.upf
Ni 58.69 Ni.upf
Se 78.96 Se.upf
CELL_PARAMETERS angstrom
-1.5793 1.7182 6.2913
1.5793 -1.7182 6.2913
1.5793 1.7182 -6.2913
ATOMIC_POSITIONS crystal
Co 0.0000 0.0000 0.0000
Ni 0.3526 0.8526 0.5000
Se 0.5812 0.5812 0.0000
Se 0.8429 0.3429 0.5000
```

=====

A plane-wave DFT calculation with PBE-GGA was carried out for CoNi5Se8 after structural relaxation. Values from VASP.

## Properties
Formation energy from raw total energies (eV/atom): -0.29
E_tot (eV per atom): -4.85

```
&SYSTEM
  ibrav = 0, nat = 14, ntyp = 3
/
ATOMIC_SPECIES
Co 58.93 Co.upf
Ni 58.69 Ni.upf
Se 78.96 Se.upf
CELL_PARAMETERS angstrom
0.0000 4.9874 4.9874
4.9874 0.0000 4.9874
4.9874 4.9874 0.0000
ATOMIC_POSITIONS crystal
Co 0.0000 0.0000 0.0000
Ni 0.3752 0.3752 0.3752
Ni 0.3752 0.3752 0.8745
Ni 0.3752 0.8745 0.3752
Ni 0.7500 0.7500 0.7500
Ni 0.8745 0.3752 0.3752
Se 0.1319 0.1319 0.1319
Se 0.1319 0.1319 0.6043
Se 0.1319 0.6043 0.1319
Se 0.1502 0.6166 0.6166
Se 0.6043 0.1319 0.1319
Se 0.6166 0.1502 0.6166
Se 0.6166 0.6166 0.1502
Se 0.6166 0.6166 0.6166
```

=====

A plane-wave DFT calculation with PBE-GGA was carried out for CoNiSe after structural relaxation. Values from VASP.

## Properties
Formation energy from raw total energies (eV/atom): 0.05
E_tot (eV per atom): -5.41

```
&SYSTEM
  ibrav = 0, nat = 3, ntyp = 3
/
ATOMIC_SPECIES
Co 58.93 Co.upf
Ni 58.69 Ni.upf
Se 78.96 Se.upf
CELL_PARAMETERS angstrom
0.0000 2.7472 2.7472
2.7472 0.0000 2.7472
2.7472 2.7472 0.0000
ATOMIC_POSITIONS crystal
Co 0.0000 0.0000 0.0000
Ni 0.5000 0.5000 0.5000
Se 0.7500 0.7500 0.7500
```

=====

A plane-wave DFT calculation with PBE-GGA was carried out for CoNiSe after structural relaxation. Values from VASP.

## Properties
Formation energy from raw total energies (eV/atom): 0.19
E_tot (eV per atom): -5.26

```
&SYSTEM
  ibrav = 0, nat = 3, ntyp = 3
/
ATOMIC_SPECIES
Co 58.93 Co.upf
Ni 58.69 Ni.upf
Se 78.96 Se.upf
CELL_PARAMETERS angstrom
-1.6397 1.6397 3.5822
1.6397 -1.6397 3.5822
1.6397 1.6397 -3.5822
ATOMIC_POSITIONS crystal
Co 0.0000 0.0000 0.0000
Ni 0.6520 0.6520 0.0000
Se 0.3294 0.3294 0.0000
```

=====

A plane-wave DFT calculation with PBE-GGA was carried out for Co2NiSe6 after structural relaxation. Values from VASP.

## Properties
Formation energy from raw total energies (eV/atom): -0.28
E_tot (eV per atom): -4.82

```
&SYSTEM
  ibrav = 0, nat = 9, ntyp = 3
/
ATOMIC_SPECIES
Co 58.93 Co.upf
Ni 58.69 Ni.upf
Se 78.96 Se.upf
CELL_PARAMETERS angstrom
5.3941 -1.8089 0.0000
5.3941 1.8089 0.0000
-3.9330 0.0000 9.2259
ATOMIC_POSITIONS crystal
Co 0.1666 0.1666 0.3337
Co 0.8334 0.8334 0.6663
Ni 0.5000 0.5000 0.0000
Se 0.0444 0.0444 0.8664
Se 0.2882 0.2882 0.7941
Se 0.3772 0.3772 0.5352
Se 0.6228 0.6228 0.4648
Se 0.7118 0.7118 0.2059
Se 0.9556 0.9556 0.1336
```

=====

Q: What is the formula in the second record?
A: CoNiSe2

=====

Q: Which value of E_tot does entry 8 give?
A: -4.82 eV per atom